A geometry-optimized CaMg2 structure. Source: the Alexandria database, functional PBEsol.

Lattice parameters (Å, degrees): 4.7851 4.7851 14.9330 99.22 99.22 90.00
Fractional coordinates of all 12 atoms:
1 Mg 0.4984 0.9984 0.9968
2 Mg 0.4207 0.4207 0.8415
3 Mg 0.2484 0.2484 0.4968
4 Mg 0.6707 0.1707 0.3415
5 Mg 0.8293 0.3293 0.6585
6 Mg 0.5793 0.5793 0.1585
7 Mg 0.0016 0.5016 0.0032
8 Mg 0.7516 0.7516 0.5032
9 Ca 0.0805 0.0805 0.1611
10 Ca 0.9195 0.9195 0.8389
11 Ca 0.1695 0.6695 0.3389
12 Ca 0.3305 0.8305 0.6611

Calculated values
Total DFT energy (no corrections): -1.893 eV/atom
Space group: I4_1/amd (141)



A geometry-optimized Li5CuSO2 structure. Source: the Alexandria database, functional PBEsol.

Lattice parameters (Å, degrees): 3.8047 3.8047 7.6106 90.00 90.00 90.00
Fractional coordinates of all 9 atoms:
1 Li 0.5000 0.0000 0.7227
2 Li 0.0000 0.0000 0.5000
3 Li 0.5000 0.0000 0.2773
4 Li 0.0000 0.5000 0.7227
5 Li 0.0000 0.5000 0.2773
6 Cu 0.0000 0.0000 0.0000
7 O 0.0000 0.0000 0.2361
8 O 0.0000 0.0000 0.7639
9 S 0.5000 0.5000 0.5000

Calculated values
Space group: P4/mmm (123)
Energy relative to the elements, uncorrected: -13.01 eV per formula unit



A geometry-optimized CdTcPb2Cl structure. Source: the Alexandria database, functional PBEsol.

Lattice parameters (Å, degrees): 4.9872 5.3465 5.3465 90.00 90.00 90.00
Each line ends with the local moment (μB).
Fractional coordinates of all 5 atoms:
1 Cl 0.0000 0.0000 0.0000  -0.03
2 Pb 0.0000 0.5000 0.0000  -0.06
3 Pb 0.0000 0.0000 0.5000  -0.06
4 Cd 0.5000 0.0000 0.0000  -0.02
5 Tc 0.5000 0.5000 0.5000  3.17

Calculated values
Space group: P4/mmm (123)
Energy relative to the elements, uncorrected: 5.76 eV per formula unit